The following is a DFT calculation (PBE-GGA) of crystalline LiLa at its relaxed geometry.

a = 3.5052 Å, b = 3.5052 Å, c = 11.3681 Å
α = 90.00°, β = 90.00°, γ = 120.00°
Closest atoms and distances in Å follow each position.
Fractional positions:
Li1 0.3333 0.6667 0.2500  6 La 3.49, 6 Li 3.51
La1 0.0000 0.0000 0.0000  6 Li 3.49, 6 La 3.51
La2 0.0000 0.0000 0.5000  6 Li 3.49, 6 La 3.51
Li2 0.6667 0.3333 0.7500  6 La 3.49, 6 Li 3.51

## Properties
**Excess energy over the best structure of this formula in the dataset**: 0.19 eV per formula unit
**DOS at the Fermi energy**: 1.052 states/eV/atom
**Energy relative to the elements**: 151 meV per atom